No. 1
The following is a PBE-GGA calculation of a relaxed structure of Zn5W, from Alexandria via LeMat-Bulk.

Cell and atoms, written as extended XYZ:
```
6
Lattice="-1.502 -0.676 -4.707 -1.893 -2.820 3.651 -3.032 2.773 0.569" Properties=species:S:1:pos:R:3 pbc="T T T"
Zn -1.189 -1.224 -0.370
Zn -1.231 -1.833 2.373
Zn -0.976 -0.439 -3.059
Zn -3.149 -0.004 -1.636
Zn -3.279 -0.719 1.150
W -1.516 1.387 0.285
```

Properties
Its theoretical density is 9496 kg/m³. The volume is 89 Å³ per cell. The value obtained for the total magnetization is 0.000 μB per atom.

***

No. 2
The following is a PBE-GGA calculation of a relaxed structure of Zn3W4, from Alexandria via LeMat-Bulk.

Cell and atoms, written as extended XYZ:
```
7
Lattice="-1.648 1.648 10.145 1.648 -1.648 10.145 1.648 1.648 -10.145" Properties=species:S:1:pos:R:3 pbc="T T T"
Zn 0.000 0.000 0.000
Zn 0.000 0.000 14.556
Zn 0.000 0.000 5.733
W 0.000 0.000 17.519
W 0.000 0.000 11.663
W 0.000 0.000 8.626
W 0.000 0.000 2.770
```

Properties
Its theoretical density is 14040 kg/m³. The volume is 110 Å³ per cell. The value obtained for the total magnetization is 0.000 μB per atom.

***

No. 3
The following is a PBE-GGA calculation of a relaxed structure of Zn3W, from Alexandria via LeMat-Bulk.

Cell and atoms, written as extended XYZ:
```
4
Lattice="-2.277 0.480 4.570 3.816 -2.644 2.179 2.560 4.368 0.817" Properties=species:S:1:pos:R:3 pbc="T T T"
W 0.000 0.000 0.000
Zn 1.280 2.184 0.408
Zn 1.908 -1.322 1.090
Zn -1.139 0.240 2.285
```

Properties
Its theoretical density is 4679 kg/m³. The volume is 135 Å³ per cell. The value obtained for the total magnetization is 0.732 μB per atom.

***

No. 4
The following is a PBE-GGA calculation of a relaxed structure of Zn5W, from Alexandria via LeMat-Bulk.

Cell and atoms, written as extended XYZ:
```
6
Lattice="1.367 5.071 0.019 -1.367 5.071 0.019 0.000 1.797 6.476" Properties=species:S:1:pos:R:3 pbc="T T T"
Zn 0.000 6.657 1.788
Zn 0.000 4.000 2.210
Zn 0.000 10.711 4.044
Zn 0.000 7.965 4.304
Zn 0.000 4.491 6.153
W 0.000 1.803 6.435
```

Properties
Its theoretical density is 9459 kg/m³. The volume is 90 Å³ per cell. The value obtained for the total magnetization is 0.000 μB per atom.

***

No. 5
The following is a PBE-GGA calculation of a relaxed structure of ZnW2, from Alexandria via LeMat-Bulk.

Cell and atoms, written as extended XYZ:
```
3
Lattice="4.829 -0.003 0.004 2.207 4.295 -0.004 -2.943 -3.088 2.263" Properties=species:S:1:pos:R:3 pbc="T T T"
W 7.024 4.285 0.000
W 4.701 2.868 0.000
Zn 2.345 1.431 0.000
```

Properties
Its theoretical density is 15333 kg/m³. The volume is 47 Å³ per cell. The value obtained for the total magnetization is 0.000 μB per atom.

***

No. 6
The following is a PBE-GGA calculation of a relaxed structure of ZnW2, from Alexandria via LeMat-Bulk.

Cell and atoms, written as extended XYZ:
```
3
Lattice="-0.074 3.220 -0.821 -4.373 -1.421 1.548 -0.392 0.807 3.200" Properties=species:S:1:pos:R:3 pbc="T T T"
W -3.157 0.666 2.897
W -1.683 1.939 1.031
Zn 0.000 0.000 0.000
```

Properties
Its theoretical density is 15339 kg/m³. The volume is 47 Å³ per cell. The value obtained for the total magnetization is 0.000 μB per atom.

***

No. 7
The following is a PBE-GGA calculation of a relaxed structure of Zn3W, from Alexandria via LeMat-Bulk.

Cell and atoms, written as extended XYZ:
```
4
Lattice="-1.639 1.243 3.270 2.065 -2.571 2.012 2.824 2.603 0.427" Properties=species:S:1:pos:R:3 pbc="T T T"
W 0.000 0.000 0.000
Zn 2.445 0.016 1.219
Zn 0.592 1.923 1.848
Zn 0.213 -0.664 2.641
```

Properties
Its theoretical density is 10943 kg/m³. The volume is 58 Å³ per cell. The value obtained for the total magnetization is 0.000 μB per atom.

***

No. 8
The following is a PBE-GGA calculation of a relaxed structure of ZnW2, from Alexandria via LeMat-Bulk.

Cell and atoms, written as extended XYZ:
```
12
Lattice="5.919 0.000 0.000 0.000 5.919 0.000 0.000 0.000 5.919" Properties=species:S:1:pos:R:3 pbc="T T T"
Zn 0.000 0.000 0.000
Zn 0.000 2.960 2.960
Zn 2.960 0.000 2.960
Zn 2.960 2.960 0.000
W 0.725 3.685 5.194
W 0.725 5.194 2.234
W 2.234 0.725 5.194
W 2.234 2.234 2.234
W 3.685 3.685 3.685
W 3.685 5.194 0.725
W 5.194 0.725 3.685
W 5.194 2.234 0.725
```

Properties
Its theoretical density is 13870 kg/m³. The volume is 207 Å³ per cell. The value obtained for the total magnetization is 0.000 μB per atom.

***

| no. | ΔH_f (0 K) (eV/atom) |
| --- | --- |
| 1 | 0.309 |
| 2 | 0.287 |
| 3 | 1.438 |
| 4 | 0.137 |
| 5 | 0.254 |
| 6 | 0.251 |
| 7 | 0.143 |
| 8 | 1.334 |